SrPmMn2O5 | GGA+U | optimized geometry

```
SrPmMn2O5
1.0
3.969 0.000 0.000
0.000 3.969 0.000
0.000 0.000 7.836
Sr Pm Mn O
1 1 2 5
Cartesian
0.000 0.000 0.000 Sr
0.000 0.000 3.918 Pm
1.984 1.984 2.044 Mn
1.984 1.984 5.792 Mn
0.000 1.984 2.433 O
0.000 1.984 5.403 O
1.984 0.000 2.433 O
1.984 0.000 5.403 O
1.984 1.984 0.000 O
```

- space-group type = No. 123
- E (eV/atom) = -7.50
- magnetization (μB per atom) = 1.00